# InTcNiIr

InTcNiIr after structural relaxation (GGA-PBE, OQMD via LeMat-Bulk).

Total magnetic moment = 2.912 μB per cell
DFT total energy = -106.85 eV per cell

abc: 6.227 6.227 6.227
angles: 90.00 90.00 90.00
Space group F-43m (No. 216)
Asymmetric unit:
In 0.000 0.000 0.000 [4 per cell]
Tc 0.250 0.250 0.750 [4 per cell]
Ni 0.250 0.250 0.250 [4 per cell]
Ir 0.000 0.000 0.500 [4 per cell]


# Lu4ZnIr2Pd

Lu4ZnIr2Pd after structural relaxation (GGA-PBE, OQMD via LeMat-Bulk).

Total magnetic moment = 0.003 μB per cell
DFT formation energy = -0.857 eV/atom

abc: 4.806 4.806 6.797
angles: 90.00 90.00 90.00
Space group P4/mmm (No. 123)
Asymmetric unit:
Lu 0.000 0.500 0.248 [4 per cell]
Zn 0.000 0.000 0.500 [1 per cell]
Ir 0.000 0.000 0.000 [1 per cell]
Ir 0.500 0.500 0.500 [1 per cell]
Pd 0.500 0.500 0.000 [1 per cell]


# PaIn3

PaIn3 after structural relaxation (GGA-PBE, OQMD via LeMat-Bulk).

Total magnetic moment = 0.748 μB per cell
DFT total energy = -18.24 eV per cell

abc: 4.647 4.647 4.647
angles: 90.00 90.00 90.00
Space group Pm-3m (No. 221)
Asymmetric unit:
Pa 0.000 0.000 0.000 [1 per cell]
In 0.000 0.500 0.500 [3 per cell]


The highest total magnetic moment belongs to which entry?
InTcNiIr